--- i ---
{"formula": "NiSe2Cl", "functional": "GGA-PBEsol", "state": "relaxed", "lattice_angstrom": [[4.5797, 0.0000, 0.0000], [0.0000, 3.5652, 0.0000], [-1.4959, 0.0000, 4.6411]], "species": ["Ni", "Se", "Se", "Cl"], "frac_coords": [[0.0000, 0.0000, 0.0000], [0.3467, 0.5000, 0.1565], [0.6533, 0.5000, 0.8435], [0.0000, 0.0000, 0.5000]], "dos_at_fermi_per_ev_cell": 1.0}

--- ii ---
{"formula": "NiSe2Cl", "functional": "GGA-PBEsol", "state": "relaxed", "lattice_angstrom": [[3.1373, -1.7739, 0.0000], [3.1373, 1.7739, 0.0000], [-0.8607, 0.0000, 6.6947]], "species": ["Ni", "Se", "Se", "Cl"], "frac_coords": [[0.0000, 0.0000, 0.0000], [0.3147, 0.3147, 0.8273], [0.6853, 0.6853, 0.1727], [0.5000, 0.5000, 0.5000]], "dos_at_fermi_per_ev_cell": 1.4}

Relative energies with respect to the most stable structure, expressed in kJ/mol of atoms: i 0.0; ii 2.1.

--- i ---
{"formula": "NiSeCl2", "functional": "GGA-PBEsol", "state": "relaxed", "lattice_angstrom": [[0.0000, 3.2261, 3.2261], [3.2261, 0.0000, 3.2261], [3.2261, 3.2261, 0.0000]], "species": ["Ni", "Se", "Cl", "Cl"], "frac_coords": [[0.0000, 0.0000, 0.0000], [0.5000, 0.5000, 0.5000], [0.2500, 0.2500, 0.2500], [0.7500, 0.7500, 0.7500]], "dos_at_fermi_per_ev_cell": 4.8}

--- ii ---
{"formula": "NiSeCl2", "functional": "GGA-PBEsol", "state": "relaxed", "lattice_angstrom": [[3.0848, 0.0000, 0.0000], [0.0000, 4.0118, 0.0000], [0.0000, 0.0000, 5.9089]], "species": ["Ni", "Se", "Cl", "Cl"], "frac_coords": [[0.0000, 0.0000, 0.0000], [0.5000, 0.0000, 0.5000], [0.0000, 0.5000, 0.5000], [0.5000, 0.5000, 0.0000]], "dos_at_fermi_per_ev_cell": 5.1}

Relative energies with respect to the most stable structure, expressed in kJ/mol of atoms: i 31.5; ii 0.0.

--- i ---
{"formula": "NiSeCl2", "functional": "GGA-PBEsol", "state": "relaxed", "lattice_angstrom": [[3.2632, -1.6614, 0.0000], [3.2632, 1.6614, 0.0000], [-1.1432, 0.0000, 7.4140]], "species": ["Ni", "Se", "Cl", "Cl"], "frac_coords": [[0.0000, 0.0000, 0.0000], [0.3192, 0.3192, 0.8308], [0.4619, 0.4619, 0.5714], [0.6481, 0.6481, 0.1733]]}

--- ii ---
{"formula": "NiSeCl2", "functional": "GGA-PBEsol", "state": "relaxed", "lattice_angstrom": [[-1.4503, 3.0704, 4.7979], [1.4503, -3.0704, 4.7979], [1.4503, 3.0704, -4.7979]], "species": ["Ni", "Se", "Cl", "Cl"], "frac_coords": [[0.0000, 0.0000, 0.0000], [0.5000, 0.5000, 0.0000], [0.1652, 0.6652, 0.5000], [0.8348, 0.3348, 0.5000]], "dos_at_fermi_per_ev_cell": 2.4}

Relative energies with respect to the most stable structure, expressed in kJ/mol of atoms: i 0.0; ii 38.6.

--- i ---
{"formula": "SiNiCl", "functional": "GGA-PBEsol", "state": "relaxed", "lattice_angstrom": [[-1.4966, 1.4966, 5.2857], [1.4966, -1.4966, 5.2857], [1.4966, 1.4966, -5.2857]], "species": ["Si", "Ni", "Cl"], "frac_coords": [[0.0000, 0.0000, 0.0000], [0.5830, 0.5830, 0.0000], [0.8003, 0.8003, 0.0000]], "dos_at_fermi_per_ev_cell": 0.7}

--- ii ---
{"formula": "SiNiCl", "functional": "GGA-PBEsol", "state": "relaxed", "lattice_angstrom": [[0.0000, 2.9174, 2.9174], [2.9174, 0.0000, 2.9174], [2.9174, 2.9174, 0.0000]], "species": ["Si", "Ni", "Cl"], "frac_coords": [[0.0000, 0.0000, 0.0000], [0.5000, 0.5000, 0.5000], [0.2500, 0.2500, 0.2500]], "dos_at_fermi_per_ev_cell": 1.8}

Relative energies with respect to the most stable structure, expressed in kJ/mol of atoms: i 0.0; ii 132.1.